Entry 1:
First-principles (PBE-GGA) data for a relaxed structure of YTaCl3, as listed in the Alexandria database.

Cell: 4.889 4.889 4.889 Å, 90.00 90.00 90.00°
Sites, in units of the cell vectors:
Ta: 0.000 0.000 0.000
Y: 0.500 0.500 0.500
Cl: 0.000 0.000 0.500
Cl: 0.500 0.000 0.000
Cl: 0.000 0.500 0.000

Entry 2:
First-principles (PBE-GGA) data for a relaxed structure of Y2TaCl, as listed in the Alexandria database.

Cell: 3.248 3.248 10.810 Å, 90.00 90.00 90.00°
Sites, in units of the cell vectors:
Y: 0.000 0.000 0.995
Y: 0.500 0.500 0.276
Ta: 0.500 0.500 0.802
Cl: 0.000 0.000 0.427

Entry 3:
First-principles (PBE-GGA) data for a relaxed structure of Y2TaCl, as listed in the Alexandria database.

Cell: 6.401 6.401 6.401 Å, 141.97 141.97 54.87°
Sites, in units of the cell vectors:
Cl: 0.500 0.500 0.000
Y: 0.000 0.000 0.000
Y: 0.250 0.750 0.500
Ta: 0.750 0.250 0.500

Entry 4:
First-principles (PBE-GGA) data for a relaxed structure of Y3TaCl, as listed in the Alexandria database.

Cell: 5.571 5.571 5.571 Å, 90.00 90.00 90.00°
Sites, in units of the cell vectors:
Y: 0.000 0.000 0.500
Y: 0.000 0.500 0.000
Y: 0.500 0.000 0.000
Cl: 0.500 0.500 0.500
Ta: 0.000 0.000 0.000

Entry 5:
First-principles (PBE-GGA) data for a relaxed structure of Y2TaCl, as listed in the Alexandria database.

Cell: 5.189 5.189 5.189 Å, 60.00 60.00 60.00°
Sites, in units of the cell vectors:
Y: 0.750 0.750 0.750
Y: 0.250 0.250 0.250
Ta: 0.500 0.500 0.500
Cl: 0.000 0.000 0.000

Entry 6:
First-principles (PBE-GGA) data for a relaxed structure of YTaCl2, as listed in the Alexandria database.

Cell: 4.839 4.839 3.240 Å, 90.00 90.00 93.96°
Sites, in units of the cell vectors:
Y: 0.000 0.500 0.500
Ta: 0.500 0.000 0.500
Cl: 0.000 0.000 0.000
Cl: 0.500 0.500 0.000

Number 1: ΔE_f (raw) -155.2 meV/atom, energy above the lowest structure with this stoichiometry 0.0238 eV/atom. Number 2: ΔE_f (raw) -35.2 meV/atom, energy above the lowest structure with this stoichiometry 0.4093 eV/atom. Number 3: ΔE_f (raw) 306.4 meV/atom, energy above the lowest structure with this stoichiometry 0.7509 eV/atom. Number 4: ΔE_f (raw) 457.0 meV/atom, energy above the lowest structure with this stoichiometry 0.4292 eV/atom. Number 5: ΔE_f (raw) 366.6 meV/atom, energy above the lowest structure with this stoichiometry 0.8111 eV/atom. Number 6: ΔE_f (raw) 0.5 meV/atom, energy above the lowest structure with this stoichiometry 0.9692 eV/atom.